1.
CeHoIn: optimized geometry, PBE.

Values from the calculation:
- Uncorrected energy: -4.486 eV per atom
- Mass density: 8733 kg/m³
- ΔE_f: -0.21 eV/f.u.

```
CeHoIn
1.0
5.3714 0.0000 0.0000
-2.6857 4.6518 0.0000
0.0000 0.0000 3.1950
Ce Ho In
1 1 1
Direct
0.0000 0.0000 0.0000 Ce
0.3333 0.6667 0.0052 Ho
0.6667 0.3333 0.5018 In
```

2.
CeHoIn: optimized geometry, PBE.

Values from the calculation:
- Uncorrected energy: -4.626 eV per atom
- Mass density: 8101 kg/m³
- ΔE_f: -0.63 eV/f.u.

```
CeHoIn
1.0
3.4642 0.0000 0.0000
0.0000 3.4642 0.0000
0.0000 0.0000 14.3434
Ce Ho In
2 2 2
Direct
0.0000 0.0000 0.0000 Ce
0.5000 0.5000 0.5000 Ce
0.0000 0.0000 0.3119 Ho
0.5000 0.5000 0.8119 Ho
0.0000 0.0000 0.6609 In
0.5000 0.5000 0.1609 In
```

3.
CeHoIn: optimized geometry, PBE.

Values from the calculation:
- Uncorrected energy: -4.689 eV per atom
- Mass density: 8354 kg/m³
- ΔE_f: -0.82 eV/f.u.

```
CeHoIn
1.0
3.5924 0.0000 0.0000
0.0143 5.0587 0.0000
0.2115 0.2426 9.1850
Ce Ho In
2 2 2
Direct
0.2040 0.2266 0.4621 Ce
0.7960 0.7734 0.5379 Ce
0.2203 0.7556 0.8801 Ho
0.7797 0.2444 0.1199 Ho
0.2969 0.7392 0.2261 In
0.7031 0.2608 0.7739 In
```

4.
Ce3HoIn6: optimized geometry, PBE.

Values from the calculation:
- Uncorrected energy: -3.759 eV per atom
- Mass density: 5579 kg/m³
- ΔE_f: 1.22 eV/f.u.

```
Ce3HoIn6
1.0
9.8471 5.6852 1.1291
-9.8471 5.6852 1.1291
0.0000 -11.3705 1.1291
Ce Ho In
3 1 6
Direct
0.1745 0.9127 0.9127 Ce
0.9127 0.1745 0.9127 Ce
0.9127 0.9127 0.1745 Ce
0.4739 0.4739 0.4739 Ho
0.2729 0.2729 0.7900 In
0.2729 0.7900 0.2729 In
0.3740 0.6407 0.6407 In
0.6407 0.3740 0.6407 In
0.6407 0.6407 0.3740 In
0.7900 0.2729 0.2729 In
```

5.
CeHo3In3: optimized geometry, PBE.

Values from the calculation:
- Uncorrected energy: -4.280 eV per atom
- Mass density: 8229 kg/m³
- ΔE_f: -2.08 eV/f.u.

```
CeHo3In3
1.0
9.3469 0.0000 0.0000
-4.6735 8.0947 0.0000
0.0000 0.0000 5.2243
Ce Ho In
2 6 6
Direct
0.3333 0.6667 0.2500 Ce
0.6667 0.3333 0.7500 Ce
0.0033 0.2329 0.2500 Ho
0.2296 0.9967 0.2500 Ho
0.2329 0.2296 0.7500 Ho
0.7671 0.7704 0.2500 Ho
0.7704 0.0033 0.7500 Ho
0.9967 0.7671 0.7500 Ho
0.0741 0.4539 0.7500 In
0.3798 0.9259 0.7500 In
0.4539 0.3798 0.2500 In
0.5461 0.6202 0.7500 In
0.6202 0.0741 0.2500 In
0.9259 0.5461 0.2500 In
```

6.
Ce2HoIn2: optimized geometry, PBE.

Values from the calculation:
- Uncorrected energy: -4.550 eV per atom
- Mass density: 7815 kg/m³
- ΔE_f: -0.83 eV/f.u.

```
Ce2HoIn2
1.0
9.1231 0.0000 0.0000
0.0000 9.1231 0.0000
0.0000 0.0000 3.4452
Ce Ho In
4 2 4
Direct
0.1044 0.3956 0.0000 Ce
0.3956 0.8956 0.0000 Ce
0.6044 0.1044 0.0000 Ce
0.8956 0.6044 0.0000 Ce
0.0000 0.0000 0.0000 Ho
0.5000 0.5000 0.0000 Ho
0.1887 0.6887 0.5000 In
0.3113 0.1887 0.5000 In
0.6887 0.8113 0.5000 In
0.8113 0.3113 0.5000 In
```

7.
Ce2Ho2In5: optimized geometry, PBE.

Values from the calculation:
- Uncorrected energy: -4.073 eV per atom
- Mass density: 7799 kg/m³
- ΔE_f: -1.94 eV/f.u.

```
Ce2Ho2In5
1.0
-7.6955 5.3437 3.0658
7.6955 -5.3437 3.0658
7.6955 5.3437 -3.0658
Ce Ho In
4 4 10
Direct
0.0480 0.0810 0.1290 Ce
0.0480 0.4190 0.4669 Ce
0.9520 0.5810 0.5331 Ce
0.9520 0.9190 0.8710 Ce
0.4141 0.7511 0.1630 Ho
0.5000 0.0000 0.5000 Ho
0.5000 0.5000 0.0000 Ho
0.5881 0.2511 0.8370 Ho
0.0003 0.3315 0.8313 In
0.0003 0.6690 0.1687 In
0.1237 0.7511 0.8726 In
0.3246 0.1564 0.4814 In
0.3246 0.3432 0.6681 In
0.5003 0.1690 0.1687 In
0.5003 0.8315 0.8313 In
0.6751 0.6564 0.3319 In
0.6751 0.8432 0.5186 In
0.8786 0.2511 0.1274 In
```

8.
CeHo6In: optimized geometry, PBE.

Values from the calculation:
- Uncorrected energy: -4.597 eV per atom
- Mass density: 8756 kg/m³
- ΔE_f: -0.64 eV/f.u.

```
CeHo6In
1.0
4.8689 0.0000 0.0000
0.0000 4.8689 0.0000
0.0000 0.0000 9.9561
Ce Ho In
1 6 1
Direct
0.0000 0.0000 0.0000 Ce
0.0000 0.5000 0.2554 Ho
0.0000 0.5000 0.7446 Ho
0.5000 0.0000 0.2554 Ho
0.5000 0.0000 0.7446 Ho
0.5000 0.5000 0.0000 Ho
0.5000 0.5000 0.5000 Ho
0.0000 0.0000 0.5000 In
```

Q: The lowest mass density belongs to which entry?
A: Ce3HoIn6

Q: Which of these has the lowest uncorrected energy?
A: number 3